*w*
The following is a GGA-PBE calculation of an optimized crystal structure of GaP2Cl, from the Alexandria database.

The structure belongs to space group Fm-3m (No. 225); the cell edges are 6.479, 6.479 and 6.479 Å and the angles 90.00°, 90.00° and 90.00°. The inequivalent atoms are Ga at (0.000, 0.000, 0.000), P at (0.250, 0.250, 0.250) and Cl at (0.000, 0.000, 0.500).

Its crystal system is cubic. For the density of states at the Fermi level, the calculation gives 0.542 states/eV/atom. The calculation puts the total moment at 0.000 Bohr magnetons per cell.

*x*
The following is a GGA-PBE calculation of an optimized crystal structure of GaP2Cl, from the Alexandria database.

The structure belongs to space group I-42d (No. 122); the cell edges are 3.758, 3.758 and 23.226 Å and the angles 90.00°, 90.00° and 90.00°. The inequivalent atoms are Ga at (0.000, 0.000, 0.000), P at (0.171, 0.250, 0.125) and Cl at (0.000, 0.000, 0.500).

Its crystal system is tetragonal. For the density of states at the Fermi level, the calculation gives 0.321 states/eV/atom. The calculation puts the total moment at 0.000 Bohr magnetons per cell.

Tell me which of them is the most stable. Sure, it is *x*.